Compound: Zn2CrRuAu
Source: Alexandria via LeMat-Bulk
Functional: PBE-GGA
Structure: relaxed

Computed properties:
calculated formation energy = 1465 meV per atom

```
5
Lattice="-3.240 -2.840 1.730 -1.000 -1.580 -4.467 3.184 -3.346 0.471" Properties=species:S:1:pos:R:3 pbc="T T T"
Ru -0.528 -3.883 -1.133
Au -0.500 -0.790 -2.233
Cr 0.000 0.000 0.000
Zn -1.620 -1.420 0.865
Zn 1.592 -1.673 0.236
```

Compound: CrAu2S2
Source: Alexandria via LeMat-Bulk
Functional: PBE-GGA
Structure: relaxed

Computed properties:
relative energy among the computed polymorphs = 37 meV/atom
ΔE_f (raw) = 0.46 eV per atom

```
5
Lattice="3.272 0.000 0.000 0.000 3.272 0.000 1.636 1.636 9.012" Properties=species:S:1:pos:R:3 pbc="T T T"
S 1.636 3.272 4.506
S 3.272 1.636 4.506
Cr 0.000 0.000 0.000
Au 1.636 1.636 1.561
Au 3.272 3.272 7.450
```

Compound: CrAu2S2
Source: Alexandria via LeMat-Bulk
Functional: PBE-GGA
Structure: relaxed

Computed properties:
relative energy among the computed polymorphs = 0 meV/atom
ΔE_f (raw) = 0.43 eV per atom

```
10
Lattice="7.167 0.000 0.000 0.000 7.167 0.000 0.000 0.000 3.582" Properties=species:S:1:pos:R:3 pbc="T T T"
S 5.823 2.239 1.791
S 4.928 5.823 1.791
S 2.239 1.344 1.791
S 1.344 4.928 1.791
Au 0.966 2.618 0.000
Au 6.201 4.549 0.000
Au 2.618 6.201 0.000
Au 4.549 0.966 0.000
Cr 3.584 3.584 0.000
Cr 0.000 0.000 0.000
```

Compound: CrAuS2
Source: Alexandria via LeMat-Bulk
Functional: PBE-GGA
Structure: relaxed

Computed properties:
ΔE_f (raw) = -0.50 eV per atom

```
4
Lattice="2.033 0.000 7.149 -1.016 1.760 7.149 -1.016 -1.760 7.149" Properties=species:S:1:pos:R:3 pbc="T T T"
S 0.000 0.000 19.129
S 0.000 0.000 2.319
Au 0.000 0.000 0.000
Cr 0.000 0.000 10.724
```

Compound: CrAu3S
Source: Alexandria via LeMat-Bulk
Functional: PBE-GGA
Structure: relaxed

Computed properties:
relative energy among the computed polymorphs = 0 meV/atom
ΔE_f (raw) = 0.73 eV per atom

```
5
Lattice="4.801 0.000 0.000 0.000 4.801 0.000 0.000 0.000 4.801" Properties=species:S:1:pos:R:3 pbc="T T T"
Cr 2.401 2.401 2.401
Au 0.000 0.000 2.401
Au 0.000 2.401 0.000
Au 2.401 0.000 0.000
S 0.000 0.000 0.000
```

Compound: CrAuS2
Source: Alexandria via LeMat-Bulk
Functional: PBE-GGA
Structure: relaxed

Computed properties:
ΔE_f (raw) = -0.50 eV per atom

```
12
Lattice="3.548 0.000 0.000 1.774 3.073 0.000 0.000 0.000 21.429" Properties=species:S:1:pos:R:3 pbc="T T T"
Au 2.964 3.073 14.286
Au 2.953 1.031 7.143
Au 1.179 2.042 0.000
S 2.964 3.061 16.609
S 4.717 2.048 2.323
S 2.964 1.037 9.466
S 2.942 1.025 4.821
S 1.190 0.012 11.964
S 1.189 2.036 19.107
Cr 1.190 2.062 10.715
Cr 1.168 0.000 3.572
Cr 2.964 1.011 17.858
```

Compound: Cr3AuS
Source: Alexandria via LeMat-Bulk
Functional: PBE-GGA
Structure: relaxed

Computed properties:
relative energy among the computed polymorphs = 0 meV/atom
ΔE_f (raw) = 0.41 eV per atom

```
5
Lattice="4.166 0.000 0.000 0.000 4.166 0.000 0.000 0.000 4.166" Properties=species:S:1:pos:R:3 pbc="T T T"
S 0.000 0.000 0.000
Cr 2.083 0.000 0.000
Cr 0.000 0.000 2.083
Cr 0.000 2.083 0.000
Au 2.083 2.083 2.083
```

Compound: CrAu3S
Source: Alexandria via LeMat-Bulk
Functional: PBE-GGA
Structure: relaxed

Computed properties:
relative energy among the computed polymorphs = 641 meV/atom
ΔE_f (raw) = 1.37 eV per atom

```
5
Lattice="-1.442 -4.595 0.066 3.598 -1.172 -2.979 2.858 -0.843 3.784" Properties=species:S:1:pos:R:3 pbc="T T T"
Au 1.799 -0.586 -1.490
Au -0.721 -2.297 0.033
Au 1.429 -0.421 1.892
S 2.507 -3.305 0.435
Cr 0.000 0.000 0.000
```

Compound: CrAuS2
Source: Alexandria via LeMat-Bulk
Functional: PBE-GGA
Structure: relaxed

Computed properties:
ΔE_f (raw) = 0.54 eV per atom

```
4
Lattice="0.000 3.103 3.103 3.103 0.000 3.103 3.103 3.103 0.000" Properties=species:S:1:pos:R:3 pbc="T T T"
S 1.552 1.552 1.552
S 4.655 4.655 4.655
Au 3.103 3.103 3.103
Cr 0.000 0.000 0.000
```

Compound: CrAuS2
Source: Alexandria via LeMat-Bulk
Functional: PBE-GGA
Structure: relaxed

Computed properties:
ΔE_f (raw) = -0.20 eV per atom

```
8
Lattice="-0.707 -1.899 -5.179 2.920 -4.559 1.273 -3.482 -5.736 -0.408" Properties=species:S:1:pos:R:3 pbc="T T T"
Au -1.541 -5.432 -3.770
Au 0.000 0.000 0.000
S -0.922 -3.124 -2.999
S 0.842 -4.587 -0.134
S -0.776 -9.793 -3.768
S -1.679 -6.883 -1.726
Cr 1.107 -3.229 -1.953
Cr 0.273 -6.762 -0.544
```

Compound: Cr3AuS
Source: Alexandria via LeMat-Bulk
Functional: PBE-GGA
Structure: relaxed

Computed properties:
relative energy among the computed polymorphs = 884 meV/atom
ΔE_f (raw) = 1.30 eV per atom

```
5
Lattice="4.982 0.000 0.000 0.000 4.982 0.000 0.000 0.000 4.982" Properties=species:S:1:pos:R:3 pbc="T T T"
S 2.491 2.491 2.491
Au 0.000 0.000 0.000
Cr 0.000 0.000 2.491
Cr 0.000 2.491 0.000
Cr 2.491 0.000 0.000
```

Compound: CrAu2S
Source: Alexandria via LeMat-Bulk
Functional: PBE-GGA
Structure: relaxed

Computed properties:
ΔE_f (raw) = 0.28 eV per atom

```
8
Lattice="7.519 0.000 0.000 0.000 7.519 0.000 3.759 3.759 2.610" Properties=species:S:1:pos:R:3 pbc="T T T"
Cr 0.000 0.000 0.000
Cr 7.519 3.759 1.305
Au 9.398 9.222 1.957
Au 5.639 5.815 1.957
Au 2.056 5.639 0.652
Au 5.463 1.880 0.652
S 3.759 7.519 1.305
S 3.759 3.759 0.000
```

| no. | volume (Å³/cell) |
| --- | --- |
| 1 | 104.4 |
| 2 | 96.5 |
| 3 | 184.0 |
| 4 | 76.8 |
| 5 | 110.7 |
| 6 | 233.7 |
| 7 | 72.3 |
| 8 | 111.7 |
| 9 | 59.8 |
| 10 | 168.6 |
| 11 | 123.7 |
| 12 | 147.5 |